Density functional theory data (PBEsol) for crystalline LiMgInMo3O12 at its relaxed geometry.

abc: 6.990 8.417 9.760
angles: 95.94 106.69 101.72
Positions (direct):
Li  0.460  0.891  0.199
Li  0.540  0.109  0.801
Mg  0.040  0.694  0.994
Mg  0.960  0.306  0.006
In  0.746  0.697  0.405
In  0.254  0.303  0.595
Mo  0.517  0.300  0.118
Mo  0.994  0.009  0.749
Mo  0.198  0.606  0.333
Mo  0.006  0.991  0.251
Mo  0.483  0.700  0.882
Mo  0.802  0.394  0.667
O  0.160  0.096  0.425
O  0.840  0.904  0.575
O  0.945  0.475  0.851
O  0.556  0.265  0.647
O  0.265  0.312  0.032
O  0.140  0.856  0.187
O  0.502  0.123  0.195
O  0.233  0.125  0.739
O  0.351  0.720  0.013
O  0.958  0.131  0.137
O  0.651  0.475  0.257
O  0.860  0.144  0.813
O  0.042  0.869  0.863
O  0.055  0.525  0.149
O  0.061  0.707  0.426
O  0.751  0.559  0.581
O  0.498  0.877  0.805
O  0.444  0.735  0.353
O  0.735  0.688  0.968
O  0.649  0.280  0.987
O  0.767  0.875  0.261
O  0.349  0.525  0.743
O  0.939  0.293  0.574
O  0.249  0.441  0.419

Summary:
Energy relative to the elements, uncorrected: -2.084 eV per atom
VASP energy: -7.915 eV per atom